No. 1
Entry from the Alexandria database: a geometry-optimized Sc2ReRh structure (PBE-GGA).

The structure in POSCAR format:
```
Sc2ReRh
1.0
-4.463 3.104 1.134
-4.633 -0.494 -3.022
3.710 -2.563 3.241
Re Rh Sc
1 1 2
Direct
0.489 0.489 0.000
0.261 0.761 0.500
0.011 0.011 0.000
0.739 0.239 0.500
```

Values from the calculation:
Calculated volume   17.266 Å³ per atom
E   -8.466 eV/atom
Formation enthalpy at 0 K   -0.35 eV per atom

=====

No. 2
Entry from the Alexandria database: a geometry-optimized Ti4Al2Zn structure (PBE-GGA).

The structure in POSCAR format:
```
Ti4Al2Zn
1.0
4.806 0.000 -0.539
0.000 5.343 0.000
-2.188 0.000 9.301
Ti Al Zn
8 4 2
Direct
0.618 0.490 0.280
0.026 0.750 0.877
0.974 0.250 0.123
0.618 0.010 0.280
0.826 0.250 0.559
0.382 0.990 0.720
0.382 0.510 0.720
0.174 0.750 0.441
0.603 0.750 0.003
0.397 0.250 0.997
0.232 0.250 0.423
0.768 0.750 0.577
0.109 0.750 0.168
0.891 0.250 0.832
```

Values from the calculation:
Calculated volume   16.610 Å³ per atom
E   -5.928 eV/atom
ΔE to the lowest computed polymorph   0 meV per atom
Formation enthalpy at 0 K   -0.17 eV per atom